# SrTe3Ir

SrTe3Ir after structural relaxation (PBE-GGA, Alexandria via LeMat-Bulk).

Cell and atoms, written as CIF:
```
data_SrTe3Ir
_chemical_formula_sum 'Sr1 Te3 Ir1'
_space_group_name_H-M_alt 'P m -3 m'
_space_group_IT_number 221
_space_group_name_Hall '-P 4 2 3'
_cell_length_a 5.3710
_cell_length_b 5.3710
_cell_length_c 5.3710
_cell_angle_alpha 90.00
_cell_angle_beta 90.00
_cell_angle_gamma 90.00
loop_
_atom_site_label
_atom_site_type_symbol
_atom_site_fract_x
_atom_site_fract_y
_atom_site_fract_z
_atom_site_occupancy
Sr1 Sr 0.0000 0.0000 0.0000 1
Te1 Te 0.0000 0.5000 0.5000 1
Ir1 Ir 0.5000 0.5000 0.5000 1
```

## Properties
For the uncorrected energy, the calculation gives -4.27 eV/atom.

---

# LiMn2InCl6

LiMn2InCl6 after structural relaxation (PBE-GGA, Alexandria via LeMat-Bulk).

Cell and atoms, written as CIF:
```
data_LiMn2InCl6
_chemical_formula_sum 'Li4 Mn8 In4 Cl24'
_space_group_name_H-M_alt 'C 1 2/c 1'
_space_group_IT_number 15
_cell_length_a 13.3487
_cell_length_b 13.2974
_cell_length_c 7.5420
_cell_angle_alpha 90.00
_cell_angle_beta 111.41
_cell_angle_gamma 90.00
loop_
_space_group_symop_operation_xyz
'x,y,z'
'-x,-y,-z'
'-x,y,-z+1/2'
'x,-y,z+1/2'
'x+1/2,y+1/2,z'
'-x+1/2,-y+1/2,-z'
'-x+1/2,y+1/2,-z+1/2'
'x+1/2,-y+1/2,z+1/2'
loop_
_atom_site_label
_atom_site_type_symbol
_atom_site_fract_x
_atom_site_fract_y
_atom_site_fract_z
_atom_site_occupancy
Li1 Li 0.0000 0.2042 0.2500 1
Mn1 Mn 0.1875 0.4228 0.6863 1
In1 In 0.0000 0.1213 0.7500 1
Cl1 Cl 0.1112 0.2700 0.5506 1
Cl2 Cl 0.1220 0.0822 0.1897 1
Cl3 Cl 0.1372 0.4427 0.9617 1
```

## Properties
For the uncorrected energy, the calculation gives -4.56 eV/atom.

---

# Tb8Pr2Tm3

Tb8Pr2Tm3 after structural relaxation (PBE-GGA, Alexandria via LeMat-Bulk).

Cell and atoms, written as CIF:
```
data_Tb8Pr2Tm3
_chemical_formula_sum 'Tb8 Pr2 Tm3'
_space_group_name_H-M_alt 'P 1 2/m 1'
_space_group_IT_number 10
_cell_length_a 7.7824
_cell_length_b 4.9749
_cell_length_c 11.3925
_cell_angle_alpha 90.00
_cell_angle_beta 95.71
_cell_angle_gamma 90.00
loop_
_space_group_symop_operation_xyz
'x,y,z'
'-x,-y,-z'
'-x,y,-z'
'x,-y,z'
loop_
_atom_site_label
_atom_site_type_symbol
_atom_site_fract_x
_atom_site_fract_y
_atom_site_fract_z
_atom_site_occupancy
Tb1 Tb 0.0649 0.0000 0.3498 1
Tb2 Tb 0.0799 0.5000 0.8559 1
Tb3 Tb 0.3422 0.5000 0.2665 1
Tb4 Tb 0.3665 0.0000 0.7862 1
Pr1 Pr 0.2251 0.5000 0.5657 1
Tm1 Tm 0.2125 0.0000 0.0670 1
Tm2 Tm 0.5000 0.5000 0.0000 1
```

## Properties
The energy relative to the elements is 134 meV per atom.

---

# Ac2Cd12Pd5

Ac2Cd12Pd5 after structural relaxation (PBE-GGA, Alexandria via LeMat-Bulk).

Cell and atoms, written as CIF:
```
data_Ac2Cd12Pd5
_chemical_formula_sum 'Ac6 Cd36 Pd15'
_space_group_name_H-M_alt 'R -3 m'
_space_group_IT_number 166
_space_group_name_Hall '-R 3 2"'
_cell_length_a 10.0568
_cell_length_b 10.0568
_cell_length_c 14.3382
_cell_angle_alpha 90.00
_cell_angle_beta 90.00
_cell_angle_gamma 120.00
loop_
_atom_site_label
_atom_site_type_symbol
_atom_site_fract_x
_atom_site_fract_y
_atom_site_fract_z
_atom_site_occupancy
Ac1 Ac 0.0000 0.0000 0.1764 1
Cd1 Cd 0.0000 0.2860 0.5000 1
Cd2 Cd 0.0067 0.5033 0.3494 1
Pd1 Pd 0.0000 0.0000 0.3912 1
Pd2 Pd 0.0000 0.5000 0.0000 1
```

## Properties
The energy relative to the elements is -339 meV per atom.

---

# TeMo2Ru

TeMo2Ru after structural relaxation (PBE-GGA, Alexandria via LeMat-Bulk).

Cell and atoms, written as CIF:
```
data_TeMo2Ru
_chemical_formula_sum 'Te2 Mo4 Ru2'
_space_group_name_H-M_alt 'C 1 m 1'
_space_group_IT_number 8
_cell_length_a 9.4771
_cell_length_b 3.0886
_cell_length_c 4.7799
_cell_angle_alpha 90.00
_cell_angle_beta 107.39
_cell_angle_gamma 90.00
loop_
_space_group_symop_operation_xyz
'x,y,z'
'x,-y,z'
'x+1/2,y+1/2,z'
'x+1/2,-y+1/2,z'
loop_
_atom_site_label
_atom_site_type_symbol
_atom_site_fract_x
_atom_site_fract_y
_atom_site_fract_z
_atom_site_occupancy
Te1 Te 0.0000 0.0000 0.0000 1
Mo1 Mo 0.0220 0.5000 0.5294 1
Mo2 Mo 0.2498 0.5000 0.1805 1
Ru1 Ru 0.2576 0.0000 0.6614 1
```

## Properties
For the uncorrected energy, the calculation gives -8.21 eV/atom.

---

# Dy2CoOs

Dy2CoOs after structural relaxation (PBE-GGA, Alexandria via LeMat-Bulk).

Cell and atoms, written as CIF:
```
data_Dy2CoOs
_chemical_formula_sum 'Dy6 Co3 Os3'
_space_group_name_H-M_alt 'R -3 m'
_space_group_IT_number 166
_space_group_name_Hall '-R 3 2"'
_cell_length_a 3.2313
_cell_length_b 3.2313
_cell_length_c 27.8669
_cell_angle_alpha 90.00
_cell_angle_beta 90.00
_cell_angle_gamma 120.00
loop_
_atom_site_label
_atom_site_type_symbol
_atom_site_fract_x
_atom_site_fract_y
_atom_site_fract_z
_atom_site_occupancy
Dy1 Dy 0.0000 0.0000 0.0899 1
Co1 Co 0.0000 0.0000 0.0000 1
Os1 Os 0.0000 0.0000 0.5000 1
```

## Properties
The energy relative to the elements is 601 meV per atom.

---

# Tb2MgRh3

Tb2MgRh3 after structural relaxation (PBE-GGA, Alexandria via LeMat-Bulk).

Cell and atoms, written as CIF:
```
data_Tb2MgRh3
_chemical_formula_sum 'Tb4 Mg2 Rh6'
_space_group_name_H-M_alt 'I m m m'
_space_group_IT_number 71
_space_group_name_Hall '-I 2 2'
_cell_length_a 4.5582
_cell_length_b 5.4169
_cell_length_c 9.7724
_cell_angle_alpha 90.00
_cell_angle_beta 90.00
_cell_angle_gamma 90.00
loop_
_atom_site_label
_atom_site_type_symbol
_atom_site_fract_x
_atom_site_fract_y
_atom_site_fract_z
_atom_site_occupancy
Tb1 Tb 0.0000 0.0000 0.1795 1
Mg1 Mg 0.0000 0.0000 0.5000 1
Rh1 Rh 0.0000 0.5000 0.1408 1
Rh2 Rh 0.0000 0.5000 0.5000 1
```

## Properties
The energy relative to the elements is -436 meV per atom.

---

# PmThBi2

PmThBi2 after structural relaxation (PBE-GGA, Alexandria via LeMat-Bulk).

Cell and atoms, written as CIF:
```
data_PmThBi2
_chemical_formula_sum 'Pm3 Th3 Bi6'
_space_group_name_H-M_alt 'R 3 m'
_space_group_IT_number 160
_space_group_name_Hall 'R 3 -2"'
_cell_length_a 4.5197
_cell_length_b 4.5197
_cell_length_c 23.6061
_cell_angle_alpha 90.00
_cell_angle_beta 90.00
_cell_angle_gamma 120.00
loop_
_atom_site_label
_atom_site_type_symbol
_atom_site_fract_x
_atom_site_fract_y
_atom_site_fract_z
_atom_site_occupancy
Pm1 Pm 0.0000 0.0000 0.0000 1
Th1 Th 0.0000 0.0000 0.1724 1
Bi1 Bi 0.0000 0.0000 0.5859 1
Bi2 Bi 0.0000 0.0000 0.7540 1
```

## Properties
The energy relative to the elements is -676 meV per atom.

---

# ZnCoTe4

ZnCoTe4 after structural relaxation (PBE-GGA, Alexandria via LeMat-Bulk).

Cell and atoms, written as CIF:
```
data_ZnCoTe4
_chemical_formula_sum 'Zn4 Co4 Te16'
_space_group_name_H-M_alt 'F -4 3 m'
_space_group_IT_number 216
_space_group_name_Hall 'F -4 2 3'
_cell_length_a 8.9457
_cell_length_b 8.9457
_cell_length_c 8.9457
_cell_angle_alpha 90.00
_cell_angle_beta 90.00
_cell_angle_gamma 90.00
loop_
_atom_site_label
_atom_site_type_symbol
_atom_site_fract_x
_atom_site_fract_y
_atom_site_fract_z
_atom_site_occupancy
Zn1 Zn 0.0000 0.0000 0.0000 1
Co1 Co 0.2500 0.2500 0.7500 1
Te1 Te 0.1248 0.1248 0.3752 1
```

## Properties
For the uncorrected energy, the calculation gives -2.59 eV/atom.

---

# TmGe3Pt3

TmGe3Pt3 after structural relaxation (PBE-GGA, Alexandria via LeMat-Bulk).

Cell and atoms, written as CIF:
```
data_TmGe3Pt3
_chemical_formula_sum 'Tm2 Ge6 Pt6'
_space_group_name_H-M_alt 'P m -3 n'
_space_group_IT_number 223
_space_group_name_Hall '-P 4n 2 3'
_cell_length_a 6.8023
_cell_length_b 6.8023
_cell_length_c 6.8023
_cell_angle_alpha 90.00
_cell_angle_beta 90.00
_cell_angle_gamma 90.00
loop_
_atom_site_label
_atom_site_type_symbol
_atom_site_fract_x
_atom_site_fract_y
_atom_site_fract_z
_atom_site_occupancy
Tm1 Tm 0.0000 0.0000 0.0000 1
Ge1 Ge 0.0000 0.2500 0.5000 1
Pt1 Pt 0.0000 0.5000 0.2500 1
```

## Properties
The energy relative to the elements is -270 meV per atom.

---

# Sm2ThCo

Sm2ThCo after structural relaxation (PBE-GGA, Alexandria via LeMat-Bulk).

Cell and atoms, written as CIF:
```
data_Sm2ThCo
_chemical_formula_sum 'Sm8 Th4 Co4'
_space_group_name_H-M_alt 'P n m a'
_space_group_IT_number 62
_cell_length_a 6.9896
_cell_length_b 9.8533
_cell_length_c 6.3978
_cell_angle_alpha 90.00
_cell_angle_beta 90.00
_cell_angle_gamma 90.00
loop_
_space_group_symop_operation_xyz
'x,y,z'
'-x,-y,-z'
'-x+1/2,-y,z+1/2'
'x+1/2,y,-z+1/2'
'x+1/2,-y+1/2,-z+1/2'
'-x+1/2,y+1/2,z+1/2'
'-x,y+1/2,-z'
'x,-y+1/2,z'
loop_
_atom_site_label
_atom_site_type_symbol
_atom_site_fract_x
_atom_site_fract_y
_atom_site_fract_z
_atom_site_occupancy
Sm1 Sm 0.1696 0.0698 0.1755 1
Th1 Th 0.0540 0.2500 0.6688 1
Co1 Co 0.1321 0.7500 0.9775 1
```

## Properties
The energy relative to the elements is -153 meV per atom.

---

# TcOs2Ru2

TcOs2Ru2 after structural relaxation (PBE-GGA, Alexandria via LeMat-Bulk).

Cell and atoms, written as CIF:
```
data_TcOs2Ru2
_chemical_formula_sum 'Tc2 Os4 Ru4'
_space_group_name_H-M_alt 'P 1 21/m 1'
_space_group_IT_number 11
_cell_length_a 4.7611
_cell_length_b 4.3339
_cell_length_c 7.2566
_cell_angle_alpha 90.00
_cell_angle_beta 109.00
_cell_angle_gamma 90.00
loop_
_space_group_symop_operation_xyz
'x,y,z'
'-x,-y,-z'
'-x,y+1/2,-z'
'x,-y+1/2,z'
loop_
_atom_site_label
_atom_site_type_symbol
_atom_site_fract_x
_atom_site_fract_y
_atom_site_fract_z
_atom_site_occupancy
Tc1 Tc 0.1694 0.2500 0.9999 1
Os1 Os 0.2331 0.7500 0.7989 1
Os2 Os 0.4345 0.7500 0.2011 1
Ru1 Ru 0.0350 0.7500 0.4000 1
Ru2 Ru 0.3651 0.2500 0.4002 1
```

## Properties
The energy relative to the elements is -50 meV per atom.

---

# GaIrNF2

GaIrNF2 after structural relaxation (PBE-GGA, Alexandria via LeMat-Bulk).

Cell and atoms, written as CIF:
```
data_GaIrNF2
_chemical_formula_sum 'Ga1 Ir1 N1 F2'
_space_group_name_H-M_alt 'P 4/m m m'
_space_group_IT_number 123
_space_group_name_Hall '-P 4 2'
_cell_length_a 3.7118
_cell_length_b 3.7118
_cell_length_c 4.3577
_cell_angle_alpha 90.00
_cell_angle_beta 90.00
_cell_angle_gamma 90.00
loop_
_atom_site_label
_atom_site_type_symbol
_atom_site_fract_x
_atom_site_fract_y
_atom_site_fract_z
_atom_site_occupancy
Ga1 Ga 0.0000 0.0000 0.0000 1
Ir1 Ir 0.5000 0.5000 0.5000 1
N1 N 0.0000 0.0000 0.5000 1
F1 F 0.0000 0.5000 0.0000 1
```

## Properties
For the uncorrected energy, the calculation gives -4.72 eV/atom.